(1)
Here is a relaxed structure of ScMnBe2In from the Alexandria database. Energies are from PBE.

Its total energy is -0.1695 hartree per atom. The calculation puts the energy relative to the elements at 2.63 eV/f.u.

The space group is P4/mmm (No. 123) and the conventional cell measures 4.3604, 4.3604 and 4.4359 Å, with angles of 90.00, 90.00 and 90.00 degrees. The distinct sites, in fractional coordinates, are Sc at (0.0000, 0.0000, 0.0000), Mn at (0.0000, 0.0000, 0.5000), Be at (0.0000, 0.5000, 0.5000) and In at (0.5000, 0.5000, 0.0000).

=====

(2)
Here is a relaxed structure of MnBe2TlIn from the Alexandria database. Energies are from PBE.

Its total energy is -0.1274 hartree per atom. The calculation puts the energy relative to the elements at 4.39 eV/f.u.

The space group is P4/mmm (No. 123) and the conventional cell measures 4.4522, 4.4522 and 5.0923 Å, with angles of 90.00, 90.00 and 90.00 degrees. The distinct sites, in fractional coordinates, are Mn at (0.0000, 0.0000, 0.0000), Be at (0.0000, 0.5000, 0.0000), Tl at (0.0000, 0.0000, 0.5000) and In at (0.5000, 0.5000, 0.5000).

=====

Q: What is the energy relative to the elements in the second record?
A: 4.39 eV/f.u.